VASP calculation (PBE) on a geometry-optimized Te2Br structure.

a = 16.4939 Å, b = 4.0488 Å, c = 13.5254 Å
α = 90.00°, β = 90.00°, γ = 90.00°
Space group Pnma (No. 62)
One atom of each set of equivalent atoms:
Te 0.0815 0.2500 0.2494 x4
Te 0.0929 0.7500 0.0982 x4
Te 0.1878 0.7500 0.7132 x4
Te 0.2264 0.2500 0.5704 x4
Br 0.0682 0.7500 0.4033 x4
Br 0.1485 0.2500 0.8681 x4

Summary:
Polymorph energy (0 for the lowest one) (meV per atom): 4
E_form (uncorrected) (eV/atom): -0.156
Crystal system: orthorhombic